No. 1
5
Lattice="-0.0119 -3.2198 -3.8786 3.8538 -2.5060 2.0685 -3.2494 -2.9604 2.4675" Properties=species:S:1:pos:R:3 comment="BaMgW3 | Alexandria via LeMat-Bulk | GGA-PBE | relaxed" delta_e_f_mev_per_atom=3551 pbc="T T T"
Mg 0.2963 -4.3431 0.3287
Ba 0.0000 0.0000 0.0000
W 1.9269 -1.2530 1.0343
W -1.6247 -1.4802 1.2337
W -0.0059 -1.6099 -1.9393

***

No. 2
5
Lattice="5.4959 0.0000 0.0000 0.0000 5.4959 0.0000 0.0000 0.0000 5.4959" Properties=species:S:1:pos:R:3 comment="BaMg3W | Alexandria via LeMat-Bulk | GGA-PBE | relaxed" delta_e_f_mev_per_atom=2524 pbc="T T T"
Mg 0.0000 2.7480 0.0000
Mg 0.0000 0.0000 2.7480
Mg 2.7480 0.0000 0.0000
Ba 0.0000 0.0000 0.0000
W 2.7480 2.7480 2.7480

***

No. 3
5
Lattice="4.9261 0.0000 0.0000 0.0000 4.9261 0.0000 0.0000 0.0000 4.9261" Properties=species:S:1:pos:R:3 comment="BaMgW3 | Alexandria via LeMat-Bulk | GGA-PBE | relaxed" delta_e_f_mev_per_atom=2566 pbc="T T T"
Mg 0.0000 0.0000 0.0000
Ba 2.4630 2.4630 2.4630
W 0.0000 2.4630 0.0000
W 0.0000 0.0000 2.4630
W 2.4630 0.0000 0.0000